# 1
This record from Alexandria describes a relaxed structure of PaAsP2Ru5. The functional is PBE-GGA.

raw total energy	-8.29	eV per atom
ΔE_f	-34.7	kJ per mole of atoms

Lattice parameters (Å, degrees): 4.018 4.018 9.639 90.00 90.00 90.00
Positions (direct):
Pa 0.000 0.000 0.000
As 0.000 0.000 0.500
P 0.500 0.500 0.237
P 0.500 0.500 0.763
Ru 0.000 0.500 0.347
Ru 0.000 0.500 0.653
Ru 0.500 0.000 0.347
Ru 0.500 0.000 0.653
Ru 0.500 0.500 0.000

# 2
This record from Alexandria describes a relaxed structure of MnHIr2W. The functional is PBE-GGA.

raw total energy	-8.72	eV per atom
excess energy over the best structure of this formula in the dataset	0.000	eV per atom

Lattice parameters (Å, degrees): 3.864 3.864 3.906 90.00 90.00 90.00
Positions (direct):
Mn 0.000 0.000 0.000
H 0.000 0.000 0.500
Ir 0.000 0.500 0.500
Ir 0.500 0.000 0.500
W 0.500 0.500 0.000

# 3
This record from Alexandria describes a relaxed structure of Pr6Nd3Tm2. The functional is PBE-GGA.

raw total energy	-4.45	eV per atom
ΔE_f	26.6	kJ per mole of atoms
excess energy over the best structure of this formula in the dataset	0.258	eV per atom

Lattice parameters (Å, degrees): 17.447 17.447 17.447 164.06 164.06 22.61
Positions (direct):
Pr 0.118 0.618 0.500
Pr 0.204 0.204 0.000
Pr 0.382 0.882 0.500
Pr 0.618 0.118 0.500
Pr 0.796 0.796 0.000
Pr 0.882 0.382 0.500
Nd 0.305 0.305 0.000
Nd 0.500 0.500 0.000
Nd 0.695 0.695 0.000
Tm 0.045 0.045 0.000
Tm 0.955 0.955 0.000